80
Lattice="-6.141 6.141 6.141 6.141 -6.141 6.141 6.141 6.141 -6.141" Properties=species:S:1:pos:R:3 comment="Gd3Mg5H12 PBE relaxed" dos_at_fermi_per_ev_fu=6.81 magmom_total_mub_per_cell=83.59 vol_a3_per_atom=11.579 total_energy_ev_per_cell=-382.60 pbc="T T T"
Gd 3.070 1.535 0.000
Gd 6.141 3.070 -1.535
Gd 1.535 0.000 3.070
Gd 7.676 0.000 3.070
Gd 0.000 3.070 1.535
Gd 3.070 -1.535 6.141
Gd 3.070 7.676 0.000
Gd 6.141 3.070 4.606
Gd -1.535 6.141 3.070
Gd 4.606 6.141 3.070
Gd 0.000 3.070 7.676
Gd 3.070 4.606 6.141
Mg 0.000 0.000 0.000
Mg 3.070 3.070 -3.070
Mg 3.070 -3.070 3.070
Mg 6.141 0.000 0.000
Mg 9.211 1.535 0.000
Mg 6.141 -3.070 4.606
Mg 4.606 6.141 -3.070
Mg 4.606 0.000 3.070
Mg 3.070 4.606 0.000
Mg 6.141 3.070 1.535
Mg -3.070 3.070 3.070
Mg 0.000 6.141 0.000
Mg 0.000 0.000 6.141
Mg 3.070 3.070 3.070
Mg 0.000 3.070 4.606
Mg 3.070 1.535 6.141
Mg 1.535 6.141 3.070
Mg 1.535 0.000 9.211
Mg 0.000 9.211 1.535
Mg -3.070 4.606 6.141
H 1.875 -0.224 0.791
H 7.336 3.861 -3.294
H 8.016 0.224 0.791
H 7.336 -2.280 3.294
H 5.917 -0.791 1.875
H 9.435 -1.195 2.280
H 0.791 1.875 -0.224
H 8.421 2.847 -1.195
H 3.861 3.294 -1.195
H 5.350 1.875 0.224
H -0.224 0.791 1.875
H 3.294 -1.195 3.861
H 5.917 5.350 -1.875
H 3.294 1.195 2.280
H 3.861 -3.294 7.336
H 5.350 -1.875 5.917
H 2.280 3.294 1.195
H 6.932 4.266 0.224
H 3.294 7.336 -2.280
H 5.917 0.791 4.266
H 1.875 5.917 -0.791
H 7.336 2.280 2.847
H 1.195 2.280 3.294
H 1.875 0.224 5.350
H 4.266 5.917 0.791
H 4.946 3.861 2.847
H -1.195 3.861 3.294
H 4.266 0.224 6.932
H 0.224 5.350 1.875
H 2.847 -1.195 8.421
H -0.791 1.875 5.917
H 3.861 2.847 4.946
H 0.791 8.016 0.224
H 2.280 9.435 -1.195
H 2.847 4.946 3.861
H 0.224 0.791 8.016
H 2.847 7.336 2.280
H 6.365 5.350 4.266
H 0.791 4.266 5.917
H 2.280 2.847 7.336
H -2.280 3.294 7.336
H 5.350 4.266 6.365
H -3.294 7.336 3.861
H 0.224 6.932 4.266
H -1.195 8.421 2.847
H -1.875 5.917 5.350
H -1.195 2.280 9.435
H 4.266 6.365 5.350

***

3
Lattice="3.624 0.000 0.000 -1.812 3.139 0.000 0.000 0.000 5.459" Properties=species:S:1:pos:R:3 comment="GdMgH PBE relaxed" dos_at_fermi_per_ev_fu=2.47 magmom_total_mub_per_cell=8.12 vol_a3_per_atom=20.702 total_energy_ev_per_cell=-19.51 pbc="T T T"
Gd 0.000 0.000 0.000
Mg 0.000 2.093 2.729
H 1.812 1.046 0.706

***

7
Lattice="-1.787 1.787 6.157 1.787 -1.787 6.157 1.787 1.787 -6.157" Properties=species:S:1:pos:R:3 comment="Gd2MnH4 PBE relaxed" dos_at_fermi_per_ev_fu=2.22 magmom_total_mub_per_cell=17.01 vol_a3_per_atom=11.233 total_energy_ev_per_cell=-53.17 pbc="T T T"
Gd 0.000 0.000 1.770
Gd 0.000 0.000 10.543
Mn 0.000 0.000 6.157
H 1.787 0.000 0.000
H 0.000 0.000 4.388
H 0.000 1.787 0.000
H 0.000 0.000 7.925